No. 1
# GGA-PBE MnIn2AgIr, optimized geometry
# - Formation enthalpy at 0 K: 658 meV per atom
# - Fermi-level density of states: 0.531 states/eV per atom
data_MnIn2AgIr
_chemical_formula_sum 'Mn1 In2 Ag1 Ir1'
_space_group_name_H-M_alt 'P 4/m m m'
_space_group_IT_number 123
_space_group_name_Hall '-P 4 2'
_cell_length_a 5.073
_cell_length_b 5.073
_cell_length_c 5.250
_cell_angle_alpha 90.00
_cell_angle_beta 90.00
_cell_angle_gamma 90.00
loop_
_atom_site_label
_atom_site_type_symbol
_atom_site_fract_x
_atom_site_fract_y
_atom_site_fract_z
Mn1 Mn 0.000 0.000 0.000
In1 In 0.000 0.500 0.500
Ag1 Ag 0.500 0.500 0.000
Ir1 Ir 0.500 0.500 0.500



No. 2
# GGA-PBE Na2In6AgIr, optimized geometry
# - Formation enthalpy at 0 K: 63 meV per atom
# - Fermi-level density of states: 0.512 states/eV per atom
data_Na2In6AgIr
_chemical_formula_sum 'Na8 In24 Ag4 Ir4'
_space_group_name_H-M_alt 'F m -3 m'
_space_group_IT_number 225
_space_group_name_Hall '-F 4 2 3'
_cell_length_a 10.588
_cell_length_b 10.588
_cell_length_c 10.588
_cell_angle_alpha 90.00
_cell_angle_beta 90.00
_cell_angle_gamma 90.00
loop_
_atom_site_label
_atom_site_type_symbol
_atom_site_fract_x
_atom_site_fract_y
_atom_site_fract_z
Na1 Na 0.250 0.250 0.250
In1 In 0.000 0.000 0.247
Ag1 Ag 0.000 0.000 0.500
Ir1 Ir 0.000 0.000 0.000



No. 3
# GGA-PBE NpInAgIr, optimized geometry
# - Formation enthalpy at 0 K: 41 meV per atom
# - Fermi-level density of states: 2.639 states/eV per atom
data_NpInAgIr
_chemical_formula_sum 'Np4 In4 Ag4 Ir4'
_space_group_name_H-M_alt 'F -4 3 m'
_space_group_IT_number 216
_space_group_name_Hall 'F -4 2 3'
_cell_length_a 6.871
_cell_length_b 6.871
_cell_length_c 6.871
_cell_angle_alpha 90.00
_cell_angle_beta 90.00
_cell_angle_gamma 90.00
loop_
_atom_site_label
_atom_site_type_symbol
_atom_site_fract_x
_atom_site_fract_y
_atom_site_fract_z
Np1 Np 0.000 0.000 0.000
In1 In 0.000 0.000 0.500
Ag1 Ag 0.250 0.250 0.750
Ir1 Ir 0.250 0.250 0.250



No. 4
# GGA-PBE In2AgIrOs, optimized geometry
# - Formation enthalpy at 0 K: 1535 meV per atom
# - Fermi-level density of states: 0.878 states/eV per atom
data_In2AgIrOs
_chemical_formula_sum 'In2 Ag1 Ir1 Os1'
_space_group_name_H-M_alt 'P 4/m m m'
_space_group_IT_number 123
_space_group_name_Hall '-P 4 2'
_cell_length_a 5.012
_cell_length_b 5.012
_cell_length_c 4.980
_cell_angle_alpha 90.00
_cell_angle_beta 90.00
_cell_angle_gamma 90.00
loop_
_atom_site_label
_atom_site_type_symbol
_atom_site_fract_x
_atom_site_fract_y
_atom_site_fract_z
In1 In 0.000 0.500 0.000
Ag1 Ag 0.000 0.000 0.500
Ir1 Ir 0.500 0.500 0.500
Os1 Os 0.000 0.000 0.000



No. 5
# GGA-PBE InAgIrPd, optimized geometry
# - Formation enthalpy at 0 K: -44 meV per atom
# - Fermi-level density of states: 0.326 states/eV per atom
data_InAgIrPd
_chemical_formula_sum 'In4 Ag4 Ir4 Pd4'
_space_group_name_H-M_alt 'F -4 3 m'
_space_group_IT_number 216
_space_group_name_Hall 'F -4 2 3'
_cell_length_a 6.456
_cell_length_b 6.456
_cell_length_c 6.456
_cell_angle_alpha 90.00
_cell_angle_beta 90.00
_cell_angle_gamma 90.00
loop_
_atom_site_label
_atom_site_type_symbol
_atom_site_fract_x
_atom_site_fract_y
_atom_site_fract_z
In1 In 0.000 0.000 0.000
Ag1 Ag 0.000 0.000 0.500
Ir1 Ir 0.250 0.250 0.750
Pd1 Pd 0.250 0.250 0.250



No. 6
# GGA-PBE PmInAgIr, optimized geometry
# - Formation enthalpy at 0 K: -311 meV per atom
# - Fermi-level density of states: 0.878 states/eV per atom
data_PmInAgIr
_chemical_formula_sum 'Pm4 In4 Ag4 Ir4'
_space_group_name_H-M_alt 'F -4 3 m'
_space_group_IT_number 216
_space_group_name_Hall 'F -4 2 3'
_cell_length_a 6.942
_cell_length_b 6.942
_cell_length_c 6.942
_cell_angle_alpha 90.00
_cell_angle_beta 90.00
_cell_angle_gamma 90.00
loop_
_atom_site_label
_atom_site_type_symbol
_atom_site_fract_x
_atom_site_fract_y
_atom_site_fract_z
Pm1 Pm 0.000 0.000 0.000
In1 In 0.000 0.000 0.500
Ag1 Ag 0.250 0.250 0.250
Ir1 Ir 0.250 0.250 0.750



No. 7
# GGA-PBE PrInAgIr, optimized geometry
# - Formation enthalpy at 0 K: -264 meV per atom
# - Fermi-level density of states: 0.826 states/eV per atom
data_PrInAgIr
_chemical_formula_sum 'Pr4 In4 Ag4 Ir4'
_space_group_name_H-M_alt 'F -4 3 m'
_space_group_IT_number 216
_space_group_name_Hall 'F -4 2 3'
_cell_length_a 7.007
_cell_length_b 7.007
_cell_length_c 7.007
_cell_angle_alpha 90.00
_cell_angle_beta 90.00
_cell_angle_gamma 90.00
loop_
_atom_site_label
_atom_site_type_symbol
_atom_site_fract_x
_atom_site_fract_y
_atom_site_fract_z
Pr1 Pr 0.000 0.000 0.000
In1 In 0.000 0.000 0.500
Ag1 Ag 0.250 0.250 0.250
Ir1 Ir 0.250 0.250 0.750



No. 8
# GGA-PBE PuInAgIr, optimized geometry
# - Formation enthalpy at 0 K: -112 meV per atom
# - Fermi-level density of states: 2.800 states/eV per atom
data_PuInAgIr
_chemical_formula_sum 'Pu4 In4 Ag4 Ir4'
_space_group_name_H-M_alt 'F -4 3 m'
_space_group_IT_number 216
_space_group_name_Hall 'F -4 2 3'
_cell_length_a 6.888
_cell_length_b 6.888
_cell_length_c 6.888
_cell_angle_alpha 90.00
_cell_angle_beta 90.00
_cell_angle_gamma 90.00
loop_
_atom_site_label
_atom_site_type_symbol
_atom_site_fract_x
_atom_site_fract_y
_atom_site_fract_z
Pu1 Pu 0.000 0.000 0.000
In1 In 0.000 0.000 0.500
Ag1 Ag 0.250 0.250 0.250
Ir1 Ir 0.250 0.250 0.750



No. 9
# GGA-PBE ScInAgIr, optimized geometry
# - Formation enthalpy at 0 K: -422 meV per atom
# - Fermi-level density of states: 0.601 states/eV per atom
data_ScInAgIr
_chemical_formula_sum 'Sc4 In4 Ag4 Ir4'
_space_group_name_H-M_alt 'F -4 3 m'
_space_group_IT_number 216
_space_group_name_Hall 'F -4 2 3'
_cell_length_a 6.623
_cell_length_b 6.623
_cell_length_c 6.623
_cell_angle_alpha 90.00
_cell_angle_beta 90.00
_cell_angle_gamma 90.00
loop_
_atom_site_label
_atom_site_type_symbol
_atom_site_fract_x
_atom_site_fract_y
_atom_site_fract_z
Sc1 Sc 0.000 0.000 0.000
In1 In 0.000 0.000 0.500
Ag1 Ag 0.250 0.250 0.750
Ir1 Ir 0.250 0.250 0.250



No. 10
# GGA-PBE Sm5In2AgIr2, optimized geometry
# - Formation enthalpy at 0 K: -508 meV per atom
# - Fermi-level density of states: 0.499 states/eV per atom
data_Sm5In2AgIr2
_chemical_formula_sum 'Sm10 In4 Ag2 Ir4'
_space_group_name_H-M_alt 'P 4/m b m'
_space_group_IT_number 127
_space_group_name_Hall '-P 4 2ab'
_cell_length_a 11.941
_cell_length_b 11.941
_cell_length_c 3.764
_cell_angle_alpha 90.00
_cell_angle_beta 90.00
_cell_angle_gamma 90.00
loop_
_atom_site_label
_atom_site_type_symbol
_atom_site_fract_x
_atom_site_fract_y
_atom_site_fract_z
Sm1 Sm 0.000 0.500 0.000
Sm2 Sm 0.074 0.204 0.000
In1 In 0.177 0.677 0.500
Ag1 Ag 0.000 0.000 0.500
Ir1 Ir 0.134 0.366 0.500



No. 11
# GGA-PBE Tb5In2AgIr2, optimized geometry
# - Formation enthalpy at 0 K: -556 meV per atom
# - Fermi-level density of states: 0.482 states/eV per atom
data_Tb5In2AgIr2
_chemical_formula_sum 'Tb10 In4 Ag2 Ir4'
_space_group_name_H-M_alt 'P 4/m b m'
_space_group_IT_number 127
_space_group_name_Hall '-P 4 2ab'
_cell_length_a 11.778
_cell_length_b 11.778
_cell_length_c 3.691
_cell_angle_alpha 90.00
_cell_angle_beta 90.00
_cell_angle_gamma 90.00
loop_
_atom_site_label
_atom_site_type_symbol
_atom_site_fract_x
_atom_site_fract_y
_atom_site_fract_z
Tb1 Tb 0.000 0.500 0.000
Tb2 Tb 0.074 0.204 0.000
In1 In 0.175 0.675 0.500
Ag1 Ag 0.000 0.000 0.500
Ir1 Ir 0.133 0.367 0.500



No. 12
# GGA-PBE Th2InAgIr, optimized geometry
# - Formation enthalpy at 0 K: -481 meV per atom
# - Fermi-level density of states: 0.584 states/eV per atom
data_Th2InAgIr
_chemical_formula_sum 'Th4 In2 Ag2 Ir2'
_space_group_name_H-M_alt 'P 1 21/m 1'
_space_group_IT_number 11
_cell_length_a 8.156
_cell_length_b 4.040
_cell_length_c 8.238
_cell_angle_alpha 90.00
_cell_angle_beta 108.82
_cell_angle_gamma 90.00
loop_
_space_group_symop_operation_xyz
'x,y,z'
'-x,-y,-z'
'-x,y+1/2,-z'
'x,-y+1/2,z'
loop_
_atom_site_label
_atom_site_type_symbol
_atom_site_fract_x
_atom_site_fract_y
_atom_site_fract_z
Th1 Th 0.001 0.250 0.206
Th2 Th 0.348 0.750 0.598
In1 In 0.322 0.750 0.180
Ag1 Ag 0.358 0.250 0.941
Ir1 Ir 0.108 0.250 0.608



No. 13
# GGA-PBE TmInAgIr, optimized geometry
# - Formation enthalpy at 0 K: -419 meV per atom
# - Fermi-level density of states: 0.746 states/eV per atom
data_TmInAgIr
_chemical_formula_sum 'Tm4 In4 Ag4 Ir4'
_space_group_name_H-M_alt 'F -4 3 m'
_space_group_IT_number 216
_space_group_name_Hall 'F -4 2 3'
_cell_length_a 6.779
_cell_length_b 6.779
_cell_length_c 6.779
_cell_angle_alpha 90.00
_cell_angle_beta 90.00
_cell_angle_gamma 90.00
loop_
_atom_site_label
_atom_site_type_symbol
_atom_site_fract_x
_atom_site_fract_y
_atom_site_fract_z
Tm1 Tm 0.000 0.000 0.000
In1 In 0.000 0.000 0.500
Ag1 Ag 0.250 0.250 0.250
Ir1 Ir 0.250 0.250 0.750



No. 14
# GGA-PBE Tm5In2AgIr2, optimized geometry
# - Formation enthalpy at 0 K: -582 meV per atom
# - Fermi-level density of states: 0.452 states/eV per atom
data_Tm5In2AgIr2
_chemical_formula_sum 'Tm10 In4 Ag2 Ir4'
_space_group_name_H-M_alt 'P 4/m b m'
_space_group_IT_number 127
_space_group_name_Hall '-P 4 2ab'
_cell_length_a 11.634
_cell_length_b 11.634
_cell_length_c 3.604
_cell_angle_alpha 90.00
_cell_angle_beta 90.00
_cell_angle_gamma 90.00
loop_
_atom_site_label
_atom_site_type_symbol
_atom_site_fract_x
_atom_site_fract_y
_atom_site_fract_z
Tm1 Tm 0.000 0.500 0.000
Tm2 Tm 0.074 0.203 0.000
In1 In 0.174 0.674 0.500
Ag1 Ag 0.000 0.000 0.500
Ir1 Ir 0.134 0.366 0.500



No. 15
# GGA-PBE Y5In2AgIr2, optimized geometry
# - Formation enthalpy at 0 K: -551 meV per atom
# - Fermi-level density of states: 0.503 states/eV per atom
data_Y5In2AgIr2
_chemical_formula_sum 'Y10 In4 Ag2 Ir4'
_space_group_name_H-M_alt 'P 4/m b m'
_space_group_IT_number 127
_space_group_name_Hall '-P 4 2ab'
_cell_length_a 11.782
_cell_length_b 11.782
_cell_length_c 3.674
_cell_angle_alpha 90.00
_cell_angle_beta 90.00
_cell_angle_gamma 90.00
loop_
_atom_site_label
_atom_site_type_symbol
_atom_site_fract_x
_atom_site_fract_y
_atom_site_fract_z
Y1 Y 0.000 0.500 0.000
Y2 Y 0.075 0.203 0.000
In1 In 0.175 0.675 0.500
Ag1 Ag 0.000 0.000 0.500
Ir1 Ir 0.134 0.366 0.500



No. 16
# GGA-PBE K2In9Ag6, optimized geometry
# - Formation enthalpy at 0 K: 38 meV per atom
# - Fermi-level density of states: 0.671 states/eV per atom
data_K2In9Ag6
_chemical_formula_sum 'K2 In9 Ag6'
_space_group_name_H-M_alt 'P 6/m m m'
_space_group_IT_number 191
_space_group_name_Hall '-P 6 2'
_cell_length_a 6.3460
_cell_length_b 6.3460
_cell_length_c 13.6491
_cell_angle_alpha 90.00
_cell_angle_beta 90.00
_cell_angle_gamma 120.00
loop_
_atom_site_label
_atom_site_type_symbol
_atom_site_fract_x
_atom_site_fract_y
_atom_site_fract_z
K1 K 0.0000 0.0000 0.1676
In1 In 0.0000 0.5000 0.0000
In2 In 0.0000 0.5000 0.3361
Ag1 Ag 0.3333 0.6667 0.1680
Ag2 Ag 0.3333 0.6667 0.5000



No. 17
# GGA-PBE KIn3Ag, optimized geometry
# - Formation enthalpy at 0 K: 97 meV per atom
# - Fermi-level density of states: 0.564 states/eV per atom
data_KIn3Ag
_chemical_formula_sum 'K1 In3 Ag1'
_space_group_name_H-M_alt 'P m -3 m'
_space_group_IT_number 221
_space_group_name_Hall '-P 4 2 3'
_cell_length_a 5.493
_cell_length_b 5.493
_cell_length_c 5.493
_cell_angle_alpha 90.00
_cell_angle_beta 90.00
_cell_angle_gamma 90.00
loop_
_atom_site_label
_atom_site_type_symbol
_atom_site_fract_x
_atom_site_fract_y
_atom_site_fract_z
K1 K 0.000 0.000 0.000
In1 In 0.000 0.500 0.500
Ag1 Ag 0.500 0.500 0.500



No. 18
# GGA-PBE KIn5Ag2, optimized geometry
# - Formation enthalpy at 0 K: -78 meV per atom
# - Fermi-level density of states: 0.350 states/eV per atom
data_KIn5Ag2
_chemical_formula_sum 'K2 In10 Ag4'
_space_group_name_H-M_alt 'I m m m'
_space_group_IT_number 71
_space_group_name_Hall '-I 2 2'
_cell_length_a 4.527
_cell_length_b 8.350
_cell_length_c 11.356
_cell_angle_alpha 90.00
_cell_angle_beta 90.00
_cell_angle_gamma 90.00
loop_
_atom_site_label
_atom_site_type_symbol
_atom_site_fract_x
_atom_site_fract_y
_atom_site_fract_z
K1 K 0.000 0.000 0.000
In1 In 0.000 0.193 0.354
In2 In 0.000 0.500 0.000
Ag1 Ag 0.000 0.500 0.249



No. 19
# GGA-PBE K3In2Ag3, optimized geometry
# - Formation enthalpy at 0 K: -32 meV per atom
# - Fermi-level density of states: 0.454 states/eV per atom
data_K3In2Ag3
_chemical_formula_sum 'K12 In8 Ag12'
_space_group_name_H-M_alt 'C m c m'
_space_group_IT_number 63
_space_group_name_Hall '-C 2c 2'
_cell_length_a 4.759
_cell_length_b 12.245
_cell_length_c 17.166
_cell_angle_alpha 90.00
_cell_angle_beta 90.00
_cell_angle_gamma 90.00
loop_
_atom_site_label
_atom_site_type_symbol
_atom_site_fract_x
_atom_site_fract_y
_atom_site_fract_z
K1 K 0.000 0.149 0.250
K2 K 0.000 0.153 0.050
In1 In 0.000 0.133 0.661
Ag1 Ag 0.000 0.429 0.250
Ag2 Ag 0.000 0.453 0.081



No. 20
# GGA-PBE KIn3Ag3, optimized geometry
# - Formation enthalpy at 0 K: 22 meV per atom
# - Fermi-level density of states: 0.220 states/eV per atom
data_KIn3Ag3
_chemical_formula_sum 'K2 In6 Ag6'
_space_group_name_H-M_alt 'P 1 21/m 1'
_space_group_IT_number 11
_cell_length_a 9.274
_cell_length_b 4.735
_cell_length_c 9.317
_cell_angle_alpha 90.00
_cell_angle_beta 119.80
_cell_angle_gamma 90.00
loop_
_space_group_symop_operation_xyz
'x,y,z'
'-x,-y,-z'
'-x,y+1/2,-z'
'x,-y+1/2,z'
loop_
_atom_site_label
_atom_site_type_symbol
_atom_site_fract_x
_atom_site_fract_y
_atom_site_fract_z
K1 K 0.167 0.250 0.332
In1 In 0.242 0.250 0.968
In2 In 0.272 0.750 0.741
In3 In 0.468 0.750 0.228
Ag1 Ag 0.054 0.250 0.605
Ag2 Ag 0.106 0.750 0.051
Ag3 Ag 0.448 0.750 0.553



No. 21
# GGA-PBE KInAg2, optimized geometry
# - Formation enthalpy at 0 K: -29 meV per atom
# - Fermi-level density of states: 0.351 states/eV per atom
data_KInAg2
_chemical_formula_sum 'K2 In2 Ag4'
_space_group_name_H-M_alt 'P 1 21/m 1'
_space_group_IT_number 11
_cell_length_a 4.894
_cell_length_b 8.095
_cell_length_c 6.834
_cell_angle_alpha 90.00
_cell_angle_beta 110.59
_cell_angle_gamma 90.00
loop_
_space_group_symop_operation_xyz
'x,y,z'
'-x,-y,-z'
'-x,y+1/2,-z'
'x,-y+1/2,z'
loop_
_atom_site_label
_atom_site_type_symbol
_atom_site_fract_x
_atom_site_fract_y
_atom_site_fract_z
K1 K 0.042 0.250 0.092
In1 In 0.326 0.250 0.655
Ag1 Ag 0.233 0.579 0.466



No. 22
# GGA-PBE KInAg, optimized geometry
# - Formation enthalpy at 0 K: 1 meV per atom
# - Fermi-level density of states: 0.446 states/eV per atom
data_KInAg
_chemical_formula_sum 'K3 In3 Ag3'
_space_group_name_H-M_alt 'P 32'
_space_group_IT_number 145
_cell_length_a 7.1217
_cell_length_b 7.1217
_cell_length_c 6.5686
_cell_angle_alpha 90.00
_cell_angle_beta 90.00
_cell_angle_gamma 120.00
loop_
_space_group_symop_operation_xyz
'x,y,z'
'-y,x-y,z+2/3'
'-x+y,-x,z+1/3'
loop_
_atom_site_label
_atom_site_type_symbol
_atom_site_fract_x
_atom_site_fract_y
_atom_site_fract_z
K1 K 0.1297 0.7355 0.0000
In1 In 0.4844 0.2867 0.2117
Ag1 Ag 0.0638 0.2004 0.1145



No. 23
# GGA-PBE K2In2Ag3, optimized geometry
# - Formation enthalpy at 0 K: -27 meV per atom
# - Fermi-level density of states: 0.460 states/eV per atom
data_K2In2Ag3
_chemical_formula_sum 'K4 In4 Ag6'
_space_group_name_H-M_alt 'C 1 2/m 1'
_space_group_IT_number 12
_cell_length_a 12.608
_cell_length_b 4.802
_cell_length_c 7.882
_cell_angle_alpha 90.00
_cell_angle_beta 125.05
_cell_angle_gamma 90.00
loop_
_space_group_symop_operation_xyz
'x,y,z'
'-x,-y,-z'
'-x,y,-z'
'x,-y,z'
'x+1/2,y+1/2,z'
'-x+1/2,-y+1/2,-z'
'-x+1/2,y+1/2,-z'
'x+1/2,-y+1/2,z'
loop_
_atom_site_label
_atom_site_type_symbol
_atom_site_fract_x
_atom_site_fract_y
_atom_site_fract_z
K1 K 0.166 0.000 0.289
In1 In 0.134 0.000 0.765
Ag1 Ag 0.000 0.500 0.500
Ag2 Ag 0.083 0.500 0.923